No. 1
Entry from Alexandria via LeMat-Bulk: a relaxed HoCdGa2Pd2 crystal (PBE).

Unit cell a=4.4534 b=4.4534 c=6.5186 alpha=90.00 beta=90.00 gamma=120.00
Last column: nearest neighbours and their distance in Å.
Fractional positions:
Ho: 0.0000 0.0000 0.5000  6 Ga 3.10, 6 Pd 3.18, 2 Cd 3.26
Cd: 0.0000 0.0000 0.0000  6 Pd 2.92, 6 Ga 2.99, 2 Ho 3.26
Ga: 0.3333 0.6667 0.7654  3 Pd 2.58
Ga: 0.6667 0.3333 0.2346  3 Pd 2.58
Pd: 0.3333 0.6667 0.2129  3 Ga 2.58
Pd: 0.6667 0.3333 0.7871  3 Ga 2.58

Calculated total energy = -4.283 eV/atom

=====

No. 2
Entry from Alexandria via LeMat-Bulk: a relaxed Ho2CdGa3Pt4 crystal (PBE).

Unit cell a=4.0426 b=4.0426 c=11.7367 alpha=90.00 beta=90.00 gamma=90.00
Last column: nearest neighbours and their distance in Å.
Fractional positions:
Ho: 0.5000 0.0000 0.2464  4 Pt 3.06, 4 Ga 3.17
Ho: 0.0000 0.5000 0.7536  4 Pt 3.06, 4 Ga 3.17
Cd: 0.5000 0.5000 0.5000  4 Pt 2.77, 4 Ga 2.86
Ga: 0.0000 0.0000 0.5000  4 Pt 2.77, 4 Cd 2.86
Ga: 0.5000 0.0000 0.8706  5 Pt 2.45-2.53
Ga: 0.0000 0.5000 0.1294  5 Pt 2.45-2.53
Pt: 0.5000 0.5000 0.0000  4 Ga 2.53
Pt: 0.0000 0.0000 0.0000  4 Ga 2.53
Pt: 0.5000 0.0000 0.6618  1 Ga 2.45
Pt: 0.0000 0.5000 0.3382  1 Ga 2.45

Calculated total energy = -5.197 eV/atom

=====

calculated total energy of number 1 (HoCdGa2Pd2)? -4.283 eV/atom